# Ac2Ni3Sn

An optimized crystal structure of Ac2Ni3Sn (PBE, Alexandria via LeMat-Bulk).

## Properties
The formation energy comes out at -2.00 eV per formula unit. The space group is No. 69. The value obtained for the total magnetization is 0.0 μB/f.u. For the final energy, the calculation gives -63.12 eV per cell.

a = 8.606 Å, b = 8.573 Å, c = 6.248 Å
α = 68.95°, β = 68.39°, γ = 42.66°
Atoms (fractional coordinates):
1 Ac 0.229 0.771 0.229
2 Ac 0.250 0.250 0.250
3 Ac 0.750 0.750 0.750
4 Ac 0.771 0.229 0.771
5 Ni 0.158 0.680 0.842
6 Ni 0.160 0.160 0.840
7 Ni 0.320 0.842 0.680
8 Ni 0.680 0.158 0.320
9 Ni 0.840 0.840 0.160
10 Ni 0.842 0.320 0.158
11 Sn 0.337 0.337 0.663
12 Sn 0.663 0.663 0.337